Record 1
A relaxed structure of RbPdNO2, computed with PBE.

a = 4.9750 Å, b = 4.9750 Å, c = 5.2988 Å
α = 90.00°, β = 90.00°, γ = 90.00°
Closest atoms and distances in Å follow each position.
Space group P4/mmm (No. 123)
One atom of each set of equivalent atoms:
Rb: 0.0000 0.0000 0.0000 [1 per cell]  4 O 2.49, 2 N 2.65
Pd: 0.5000 0.5000 0.5000 [1 per cell]  4 N 3.52, 8 O 3.63
N: 0.0000 0.0000 0.5000 [1 per cell]  2 Rb 2.65
O: 0.0000 0.5000 0.0000 [2 per cell]  2 Rb 2.49



Record 2
A relaxed structure of RbPdN2O, computed with PBE.

a = 3.9560 Å, b = 3.9560 Å, c = 4.6374 Å
α = 90.00°, β = 90.00°, γ = 90.00°
Closest atoms and distances in Å follow each position.
Space group P4/mmm (No. 123)
One atom of each set of equivalent atoms:
Rb: 0.0000 0.0000 0.0000 [1 per cell]  4 O 2.80, 8 N 3.05
Pd: 0.5000 0.5000 0.5000 [1 per cell]  4 N 1.98
N: 0.0000 0.5000 0.5000 [2 per cell]  2 Pd 1.98
O: 0.5000 0.5000 0.0000 [1 per cell]  2 Pd 2.32



Record 3
A relaxed structure of RbPdN2O, computed with PBE.

a = 5.3845 Å, b = 5.3845 Å, c = 4.9500 Å
α = 90.00°, β = 90.00°, γ = 90.00°
Closest atoms and distances in Å follow each position.
Space group P4/mmm (No. 123)
One atom of each set of equivalent atoms:
Rb: 0.0000 0.0000 0.0000 [1 per cell]  2 O 2.48, 4 N 2.69
Pd: 0.5000 0.5000 0.5000 [1 per cell]  8 N 3.66, 4 O 3.81
N: 0.0000 0.5000 0.0000 [2 per cell]  2 Rb 2.69
O: 0.0000 0.0000 0.5000 [1 per cell]  2 Rb 2.48



Calculated values (eV/atom) of ΔE_f (raw) for the records, taken in order: 1.92, 1.07, 2.55.